No. 1
{"formula": "Sc2Ga2Tc2C", "functional": "PBE", "state": "relaxed", "delta_e_f_ev_per_fu": -3.139, "crystal_system": "monoclinic", "dos_at_fermi_per_ev_cell": 3.32, "volume_a3_per_atom": 15.6, "magnetic_moment_mub_per_atom": 0.00, "lattice_angstrom": [[5.522, -1.653, 0.000], [5.522, 1.653, 0.000], [-2.018, 0.000, 5.964]], "species": ["Sc", "Sc", "Ga", "Ga", "Tc", "Tc", "C"], "fractional_positions": [[0.003, 0.003, 0.252], [0.997, 0.997, 0.748], [0.320, 0.320, 0.403], [0.680, 0.680, 0.597], [0.315, 0.315, 0.899], [0.685, 0.685, 0.101], [0.500, 0.500, 0.000]]}

=====

No. 2
{"formula": "Pm3CuPd2", "functional": "PBE", "state": "relaxed", "delta_e_f_ev_per_fu": -3.443, "crystal_system": "orthorhombic", "dos_at_fermi_per_ev_cell": 21.31, "volume_a3_per_atom": 24.5, "magnetic_moment_mub_per_atom": 0.00, "e_above_lowest_polymorph_ev_per_atom": 0.0000, "lattice_angstrom": [[11.962, 0.000, 0.000], [0.000, 4.112, 0.000], [0.000, 0.000, 11.946]], "species": ["Pm", "Pm", "Pm", "Pm", "Pm", "Pm", "Pm", "Pm", "Pm", "Pm", "Pm", "Pm", "Cu", "Cu", "Cu", "Cu", "Pd", "Pd", "Pd", "Pd", "Pd", "Pd", "Pd", "Pd"], "fractional_positions": [[0.054, 0.250, 0.129], [0.125, 0.750, 0.565], [0.213, 0.250, 0.814], [0.287, 0.750, 0.314], [0.375, 0.250, 0.065], [0.446, 0.750, 0.629], [0.554, 0.250, 0.371], [0.625, 0.750, 0.935], [0.713, 0.250, 0.686], [0.787, 0.750, 0.186], [0.875, 0.250, 0.435], [0.946, 0.750, 0.871], [0.123, 0.250, 0.378], [0.377, 0.750, 0.878], [0.623, 0.250, 0.122], [0.877, 0.750, 0.622], [0.008, 0.750, 0.308], [0.184, 0.750, 0.995], [0.316, 0.250, 0.495], [0.492, 0.250, 0.808], [0.508, 0.750, 0.192], [0.684, 0.750, 0.505], [0.816, 0.250, 0.005], [0.992, 0.250, 0.692]]}

=====

No. 3
{"formula": "KHgOs2", "functional": "PBE", "state": "relaxed", "delta_e_f_ev_per_fu": 4.709, "crystal_system": "orthorhombic", "dos_at_fermi_per_ev_cell": 3.97, "volume_a3_per_atom": 19.0, "magnetic_moment_mub_per_atom": 0.00, "lattice_angstrom": [[-1.408, 2.440, 5.542], [1.408, -2.440, 5.542], [1.408, 2.440, -5.542]], "species": ["K", "Hg", "Os", "Os"], "fractional_positions": [[0.000, 0.000, 0.000], [0.500, 0.500, 0.000], [0.275, 0.775, 0.500], [0.725, 0.225, 0.500]]}

=====

No. 4
{"formula": "Na2HgSb", "functional": "PBE", "state": "relaxed", "crystal_system": "tetragonal", "final_energy_ev_per_atom": -1.849, "dos_at_fermi_per_ev_cell": 3.94, "volume_a3_per_atom": 28.4, "magnetic_moment_mub_per_atom": 0.00, "lattice_angstrom": [[-2.319, 2.319, 10.566], [2.319, -2.319, 10.566], [2.319, 2.319, -10.566]], "species": ["Na", "Na", "Na", "Na", "Hg", "Hg", "Sb", "Sb"], "fractional_positions": [[0.122, 0.625, 0.997], [0.375, 0.372, 0.497], [0.628, 0.125, 0.003], [0.875, 0.878, 0.503], [0.250, 0.750, 0.500], [0.500, 0.500, 0.000], [0.000, 0.000, 0.000], [0.750, 0.250, 0.500]]}

=====

No. 5
{"formula": "FeIrPb", "functional": "PBE", "state": "relaxed", "delta_e_f_ev_per_fu": 1.566, "crystal_system": "trigonal", "dos_at_fermi_per_ev_cell": 2.38, "volume_a3_per_atom": 19.4, "magnetic_moment_mub_per_atom": 0.94, "e_above_lowest_polymorph_ev_per_atom": 0.1661, "lattice_angstrom": [[4.106, 0.000, 0.000], [-2.053, 3.556, 0.000], [0.000, 0.000, 3.982]], "species": ["Fe", "Ir", "Pb"], "fractional_positions": [[0.000, 0.000, 0.000], [0.667, 0.333, 0.078], [0.333, 0.667, 0.540]]}

=====

No. 6
{"formula": "ZrBC2", "functional": "PBE", "state": "relaxed", "delta_e_f_ev_per_fu": 0.691, "crystal_system": "tetragonal", "dos_at_fermi_per_ev_cell": 1.26, "volume_a3_per_atom": 9.6, "magnetic_moment_mub_per_atom": 0.00, "lattice_angstrom": [[-2.613, 2.613, 2.802], [2.613, -2.613, 2.802], [2.613, 2.613, -2.802]], "species": ["Zr", "Zr", "B", "B", "C", "C", "C", "C"], "fractional_positions": [[0.000, 0.000, 0.000], [0.750, 0.250, 0.500], [0.250, 0.750, 0.500], [0.500, 0.500, 0.000], [0.223, 0.625, 0.098], [0.375, 0.473, 0.598], [0.527, 0.125, 0.902], [0.875, 0.777, 0.402]]}

=====

No. 7
{"formula": "TaTl2Fe", "functional": "PBE", "state": "relaxed", "delta_e_f_ev_per_fu": 1.435, "crystal_system": "monoclinic", "dos_at_fermi_per_ev_cell": 2.80, "volume_a3_per_atom": 20.9, "magnetic_moment_mub_per_atom": 0.17, "e_above_lowest_polymorph_ev_per_atom": 0.0000, "lattice_angstrom": [[3.143, 0.000, 0.000], [0.000, 3.162, 0.000], [-1.552, 0.000, 8.423]], "species": ["Ta", "Tl", "Tl", "Fe"], "fractional_positions": [[0.000, 0.000, 0.000], [0.635, 0.500, 0.277], [0.815, 0.000, 0.619], [0.430, 0.500, 0.860]]}